Entry 1:
# GGA-PBE NaSrIn2Rh, optimized geometry
data_NaSrIn2Rh
_chemical_formula_sum 'Na1 Sr1 In2 Rh1'
_space_group_name_H-M_alt 'P 1'
_space_group_IT_number 1
_cell_length_a 5.170
_cell_length_b 5.170
_cell_length_c 5.393
_cell_angle_alpha 90.00
_cell_angle_beta 90.00
_cell_angle_gamma 90.00
loop_
_space_group_symop_operation_xyz
'x,y,z'
loop_
_atom_site_label
_atom_site_type_symbol
_atom_site_fract_x
_atom_site_fract_y
_atom_site_fract_z
Rh1 Rh 0.000 0.000 0.000
Na1 Na 0.000 0.000 0.500
Sr1 Sr 0.500 0.500 0.500
In1 In 0.000 0.500 0.000
In2 In 0.500 0.000 0.000
# DFT formation energy in meV per atom: -206.2
# Crystal system: tetragonal
# Electronic total energy in Ry/atom: -0.248
# Size of the total moment in μB per cell: 0.00
# Energy above the lowest structure with this stoichiometry in meV/atom: 44


Entry 2:
# GGA-PBE Fe5Si, optimized geometry
data_Fe5Si
_chemical_formula_sum 'Fe5 Si1'
_space_group_name_H-M_alt 'P 1'
_space_group_IT_number 1
_cell_length_a 4.312
_cell_length_b 4.312
_cell_length_c 4.189
_cell_angle_alpha 90.00
_cell_angle_beta 90.00
_cell_angle_gamma 120.00
loop_
_space_group_symop_operation_xyz
'x,y,z'
loop_
_atom_site_label
_atom_site_type_symbol
_atom_site_fract_x
_atom_site_fract_y
_atom_site_fract_z
Fe1 Fe 0.670 0.000 0.000
Fe2 Fe 0.330 0.330 0.000
Fe3 Fe 0.333 0.667 0.500
Fe4 Fe 0.000 0.670 0.000
Fe5 Fe 0.667 0.333 0.500
Si1 Si 0.000 0.000 0.500
# Uncorrected formation energy in meV/atom: -75
# Crystal system: hexagonal
# Electronic total energy in Ry/atom: -0.590
# Size of the total moment in μB per cell: 9.67
# Energy above the lowest structure with this stoichiometry in meV/atom: 129


Entry 3:
# GGA-PBE LiCaCl, optimized geometry
data_LiCaCl
_chemical_formula_sum 'Li2 Ca2 Cl2'
_space_group_name_H-M_alt 'P 1'
_space_group_IT_number 1
_cell_length_a 3.693
_cell_length_b 3.821
_cell_length_c 13.074
_cell_angle_alpha 90.00
_cell_angle_beta 90.00
_cell_angle_gamma 118.90
loop_
_space_group_symop_operation_xyz
'x,y,z'
loop_
_atom_site_label
_atom_site_type_symbol
_atom_site_fract_x
_atom_site_fract_y
_atom_site_fract_z
Li1 Li 0.697 0.394 0.718
Li2 Li 0.697 0.394 0.282
Cl1 Cl 0.193 0.386 0.858
Cl2 Cl 0.193 0.386 0.142
Ca1 Ca 0.367 0.735 0.500
Ca2 Ca 0.519 0.038 0.000
# Uncorrected formation energy in meV/atom: -1009
# Crystal system: orthorhombic
# Electronic total energy in Ry/atom: -0.215
# Size of the total moment in μB per cell: 0.68
# Energy above the lowest structure with this stoichiometry in meV/atom: 77


Entry 4:
# GGA-PBE Pm2BeGa3Au4, optimized geometry
data_Pm2BeGa3Au4
_chemical_formula_sum 'Pm2 Be1 Ga3 Au4'
_space_group_name_H-M_alt 'P 1'
_space_group_IT_number 1
_cell_length_a 4.384
_cell_length_b 4.384
_cell_length_c 10.339
_cell_angle_alpha 90.00
_cell_angle_beta 90.00
_cell_angle_gamma 90.00
loop_
_space_group_symop_operation_xyz
'x,y,z'
loop_
_atom_site_label
_atom_site_type_symbol
_atom_site_fract_x
_atom_site_fract_y
_atom_site_fract_z
Be1 Be 0.500 0.500 0.500
Au1 Au 0.000 0.000 0.000
Au2 Au 0.500 0.500 0.000
Au3 Au 0.000 0.500 0.381
Au4 Au 0.500 0.000 0.619
Ga1 Ga 0.000 0.000 0.500
Ga2 Ga 0.500 0.000 0.861
Ga3 Ga 0.000 0.500 0.139
Pm1 Pm 0.000 0.500 0.741
Pm2 Pm 0.500 0.000 0.259
# DFT formation energy in meV per atom: -579.8
# Crystal system: tetragonal
# Electronic total energy in Ry/atom: -0.303
# Size of the total moment in μB per cell: 0.00


- What is the formula in the second record?
  Fe5Si